# 1
# Li3SiPt (PBE-GGA, optimized geometry)
# M_tot (μB/f.u.): 0.000
# E above lowest polymorph (meV/atom): 0
# Space group: R3m (160)
# Formation energy without anion corrections (eV/atom): -0.08
data_Li3SiPt
_chemical_formula_sum 'Li3 Si1 Pt1'
_space_group_name_H-M_alt 'P 1'
_space_group_IT_number 1
_cell_length_a 4.5941
_cell_length_b 4.5941
_cell_length_c 5.0334
_cell_angle_alpha 62.85
_cell_angle_beta 62.85
_cell_angle_gamma 60.00
loop_
_space_group_symop_operation_xyz
'x,y,z'
loop_
_atom_site_label
_atom_site_fract_x
_atom_site_fract_y
_atom_site_fract_z
Li1 0.8050 0.3042 0.0858
Li2 0.8050 0.8050 0.0858
Li3 0.3042 0.8050 0.0858
Pt1 0.8069 0.8069 0.5793
Si1 0.1539 0.1539 0.5384

# 2
# LiSiPt2 (PBE-GGA, optimized geometry)
# M_tot (μB/f.u.): 0.000
# Space group: P4/mmm (123)
# Formation energy without anion corrections (eV/atom): -0.73
data_LiSiPt2
_chemical_formula_sum 'Li1 Si1 Pt2'
_space_group_name_H-M_alt 'P 1'
_space_group_IT_number 1
_cell_length_a 3.4140
_cell_length_b 3.9600
_cell_length_c 3.9600
_cell_angle_alpha 90.00
_cell_angle_beta 90.00
_cell_angle_gamma 90.00
loop_
_space_group_symop_operation_xyz
'x,y,z'
loop_
_atom_site_label
_atom_site_fract_x
_atom_site_fract_y
_atom_site_fract_z
Pt1 0.0000 0.0000 0.0000
Pt2 0.0000 0.5000 0.5000
Si1 0.5000 0.5000 0.0000
Li1 0.5000 0.0000 0.5000

# 3
# LiSiPt2 (PBE-GGA, optimized geometry)
# M_tot (μB/f.u.): 0.000
# Space group: Pmm2 (25)
# Formation energy without anion corrections (eV/atom): -0.61
data_LiSiPt2
_chemical_formula_sum 'Li1 Si1 Pt2'
_space_group_name_H-M_alt 'P 1'
_space_group_IT_number 1
_cell_length_a 2.7826
_cell_length_b 3.8983
_cell_length_c 5.1174
_cell_angle_alpha 90.00
_cell_angle_beta 90.00
_cell_angle_gamma 90.00
loop_
_space_group_symop_operation_xyz
'x,y,z'
loop_
_atom_site_label
_atom_site_fract_x
_atom_site_fract_y
_atom_site_fract_z
Si1 0.0000 0.0000 0.4790
Li1 0.5000 0.5000 0.7796
Pt1 0.0000 0.0000 0.9463
Pt2 0.5000 0.5000 0.2950

# 4
# LiSiPt2 (PBE-GGA, optimized geometry)
# M_tot (μB/f.u.): 0.000
# Space group: Pnma (62)
# Formation energy without anion corrections (eV/atom): -0.70
data_LiSiPt2
_chemical_formula_sum 'Li8 Si8 Pt16'
_space_group_name_H-M_alt 'P 1'
_space_group_IT_number 1
_cell_length_a 5.3448
_cell_length_b 6.9441
_cell_length_c 13.0092
_cell_angle_alpha 90.00
_cell_angle_beta 90.00
_cell_angle_gamma 90.00
loop_
_space_group_symop_operation_xyz
'x,y,z'
loop_
_atom_site_label
_atom_site_fract_x
_atom_site_fract_y
_atom_site_fract_z
Si1 0.6821 0.7500 0.6811
Si2 0.0197 0.7500 0.9345
Si3 0.1821 0.2500 0.8189
Si4 0.9803 0.2500 0.0655
Si5 0.5197 0.2500 0.5655
Si6 0.8179 0.7500 0.1811
Si7 0.4803 0.7500 0.4345
Si8 0.3179 0.2500 0.3189
Pt1 0.2615 0.4609 0.9658
Pt2 0.0486 0.0447 0.2125
Pt3 0.5486 0.9553 0.2875
Pt4 0.2615 0.0391 0.9658
Pt5 0.9514 0.9553 0.7875
Pt6 0.7615 0.9609 0.5342
Pt7 0.2385 0.4609 0.4658
Pt8 0.4514 0.0447 0.7125
Pt9 0.4514 0.4553 0.7125
Pt10 0.9514 0.5447 0.7875
Pt11 0.5486 0.5447 0.2875
Pt12 0.0486 0.4553 0.2125
Pt13 0.7385 0.9609 0.0342
Pt14 0.7615 0.5391 0.5342
Pt15 0.7385 0.5391 0.0342
Pt16 0.2385 0.0391 0.4658
Li1 0.9771 0.7500 0.3719
Li2 0.6709 0.2500 0.8756
Li3 0.0229 0.2500 0.6281
Li4 0.3291 0.7500 0.1244
Li5 0.4771 0.2500 0.1281
Li6 0.8291 0.2500 0.3756
Li7 0.1709 0.7500 0.6244
Li8 0.5229 0.7500 0.8719

# 5
# LiSiPt2 (PBE-GGA, optimized geometry)
# M_tot (μB/f.u.): 0.000
# Space group: P4mm (99)
# Formation energy without anion corrections (eV/atom): -0.34
data_LiSiPt2
_chemical_formula_sum 'Li1 Si1 Pt2'
_space_group_name_H-M_alt 'P 1'
_space_group_IT_number 1
_cell_length_a 2.8321
_cell_length_b 2.8321
_cell_length_c 7.5032
_cell_angle_alpha 90.00
_cell_angle_beta 90.00
_cell_angle_gamma 90.05
loop_
_space_group_symop_operation_xyz
'x,y,z'
loop_
_atom_site_label
_atom_site_fract_x
_atom_site_fract_y
_atom_site_fract_z
Pt1 0.5000 0.5000 0.2746
Pt2 0.0000 0.0000 0.9948
Li1 0.5000 0.5000 0.7523
Si1 0.0000 0.0000 0.4784

# 6
# LiSiPt3 (PBE-GGA, optimized geometry)
# M_tot (μB/f.u.): 0.000
# E above lowest polymorph (meV/atom): 0
# Space group: C2/m (12)
# Formation energy without anion corrections (eV/atom): -0.68
data_LiSiPt3
_chemical_formula_sum 'Li2 Si2 Pt6'
_space_group_name_H-M_alt 'P 1'
_space_group_IT_number 1
_cell_length_a 5.5800
_cell_length_b 5.5797
_cell_length_c 6.7527
_cell_angle_alpha 90.00
_cell_angle_beta 65.62
_cell_angle_gamma 60.00
loop_
_space_group_symop_operation_xyz
'x,y,z'
loop_
_atom_site_label
_atom_site_fract_x
_atom_site_fract_y
_atom_site_fract_z
Pt1 0.0142 0.1992 0.0403
Pt2 0.0141 0.6963 0.0403
Pt3 0.9141 0.9978 0.4404
Pt4 0.4122 0.9973 0.4388
Pt5 0.5123 0.1987 0.0387
Pt6 0.4122 0.5001 0.4388
Si1 0.3786 0.2655 0.7384
Si2 0.0478 0.9309 0.7408
Li1 0.9098 0.4999 0.4448
Li2 0.5166 0.6965 0.0343

# 7
# LiSiPt3 (PBE-GGA, optimized geometry)
# M_tot (μB/f.u.): 0.000
# E above lowest polymorph (meV/atom): 1155
# Space group: Pm-3m (221)
# Formation energy without anion corrections (eV/atom): 0.48
data_LiSiPt3
_chemical_formula_sum 'Li1 Si1 Pt3'
_space_group_name_H-M_alt 'P 1'
_space_group_IT_number 1
_cell_length_a 4.2379
_cell_length_b 4.2379
_cell_length_c 4.2379
_cell_angle_alpha 90.00
_cell_angle_beta 90.00
_cell_angle_gamma 90.00
loop_
_space_group_symop_operation_xyz
'x,y,z'
loop_
_atom_site_label
_atom_site_fract_x
_atom_site_fract_y
_atom_site_fract_z
Li1 0.0000 0.0000 0.0000
Si1 0.5000 0.5000 0.5000
Pt1 0.0000 0.0000 0.5000
Pt2 0.0000 0.5000 0.0000
Pt3 0.5000 0.0000 0.0000

# 8
# LiSi2Pt4 (PBE-GGA, optimized geometry)
# M_tot (μB/f.u.): 0.000
# Space group: Pnma (62)
# Formation energy without anion corrections (eV/atom): -0.74
data_LiSi2Pt4
_chemical_formula_sum 'Li4 Si8 Pt16'
_space_group_name_H-M_alt 'P 1'
_space_group_IT_number 1
_cell_length_a 4.0410
_cell_length_b 5.7748
_cell_length_c 17.7698
_cell_angle_alpha 90.00
_cell_angle_beta 90.00
_cell_angle_gamma 90.00
loop_
_space_group_symop_operation_xyz
'x,y,z'
loop_
_atom_site_label
_atom_site_fract_x
_atom_site_fract_y
_atom_site_fract_z
Pt1 0.7500 0.8611 0.3012
Pt2 0.2500 0.3611 0.1988
Pt3 0.2500 0.5171 0.4265
Pt4 0.7500 0.4829 0.5735
Pt5 0.7500 0.6480 0.9644
Pt6 0.7500 0.3662 0.3191
Pt7 0.7500 0.0171 0.0735
Pt8 0.7500 0.8520 0.4644
Pt9 0.2500 0.3520 0.0356
Pt10 0.2500 0.1389 0.6988
Pt11 0.2500 0.8662 0.1809
Pt12 0.2500 0.9829 0.9265
Pt13 0.2500 0.1480 0.5356
Pt14 0.2500 0.6338 0.6809
Pt15 0.7500 0.1338 0.8191
Pt16 0.7500 0.6389 0.8012
Li1 0.2500 0.0553 0.3760
Li2 0.7500 0.9447 0.6240
Li3 0.2500 0.4447 0.8760
Li4 0.7500 0.5553 0.1240
Si1 0.2500 0.7623 0.0458
Si2 0.2500 0.6334 0.2983
Si3 0.7500 0.3666 0.7017
Si4 0.2500 0.8666 0.7983
Si5 0.2500 0.7377 0.5458
Si6 0.7500 0.2623 0.4542
Si7 0.7500 0.2377 0.9542
Si8 0.7500 0.1334 0.2017